A geometry-optimized KMoH2I structure. Source: Alexandria via LeMat-Bulk, functional PBE.

Values from the calculation:
Raw total energy (eV/atom): -3.53

Lattice parameters (Å, degrees): 4.2800 8.2001 4.2800 90.00 90.00 90.00
Each line ends with the local moment (μB).
Atoms (fractional coordinates):
I 0.5000 0.5000 0.5000  0.02
H 0.0000 0.0000 0.5000  -0.04
H 0.5000 0.0000 0.0000  -0.04
Mo 0.0000 0.0000 0.0000  3.35
K 0.0000 0.5000 0.0000  0.00

***

A geometry-optimized AcTlAu structure. Source: Alexandria via LeMat-Bulk, functional PBE.

Values from the calculation:
Raw total energy (eV/atom): -3.80

Lattice parameters (Å, degrees): 3.9680 5.0346 5.0346 120.00 90.00 90.00
Atoms (fractional coordinates):
Ac 0.6666 0.6667 0.3333
Tl 0.1664 0.3333 0.6667
Au 0.1670 0.0000 0.0000

***

A geometry-optimized PrPbI structure. Source: Alexandria via LeMat-Bulk, functional PBE.

Values from the calculation:
Raw formation energy (eV/atom): -0.5720

Lattice parameters (Å, degrees): 4.9823 4.9823 8.4676 98.00 98.00 89.64
Atoms (fractional coordinates):
I 0.7511 0.2489 0.0000
I 0.2489 0.7511 0.0000
Pb 0.1800 0.1800 0.6309
Pb 0.8200 0.8200 0.3691
Pr 0.6883 0.6883 0.7323
Pr 0.3117 0.3117 0.2677

***

A geometry-optimized Zn3Si5 structure. Source: Alexandria via LeMat-Bulk, functional PBE.

Values from the calculation:
Raw formation energy (eV/atom): 0.4160

Lattice parameters (Å, degrees): 7.7680 7.7680 4.9238 90.00 90.00 120.00
Atoms (fractional coordinates):
Si 0.8148 0.8148 0.2500
Si 0.0000 0.8148 0.7500
Si 0.1853 0.1852 0.7500
Si 0.6667 0.3333 0.0000
Si 0.3333 0.6667 0.5000
Si 0.8148 0.0000 0.7500
Si 0.6667 0.3333 0.5000
Si 0.0000 0.1852 0.2500
Si 0.3333 0.6667 0.0000
Si 0.1852 0.0000 0.2500
Zn 0.0000 0.5905 0.2500
Zn 0.4095 0.4095 0.2500
Zn 0.4095 0.0000 0.7500
Zn 0.0000 0.4095 0.7500
Zn 0.5905 0.5905 0.7500
Zn 0.5905 0.0000 0.2500

***

A geometry-optimized SbTe2W structure. Source: Alexandria via LeMat-Bulk, functional PBE.

Values from the calculation:
Raw formation energy (eV/atom): 0.8680

Lattice parameters (Å, degrees): 3.4632 5.1668 5.1668 90.00 90.00 90.00
Each line ends with the local moment (μB).
Atoms (fractional coordinates):
Te 0.0000 0.5000 0.5000  -0.02
Te 0.0000 0.0000 0.0000  -0.02
Sb 0.5000 0.0000 0.5000  -0.02
W 0.5000 0.5000 0.0000  1.07

***

A geometry-optimized CsK3Ge structure. Source: Alexandria via LeMat-Bulk, functional PBE.

Values from the calculation:
Raw total energy (eV/atom): -0.92

Lattice parameters (Å, degrees): 7.8298 7.8298 7.8298 90.00 90.00 90.00
Each line ends with the local moment (μB).
Atoms (fractional coordinates):
Cs 0.0000 0.0000 0.0000  -0.01
K 0.5000 0.0000 0.0000  -0.01
K 0.0000 0.0000 0.5000  0.00
K 0.0000 0.5000 0.0000  0.00
Ge 0.5000 0.5000 0.5000  0.71

***

A geometry-optimized Ni7SbAs2 structure. Source: Alexandria via LeMat-Bulk, functional PBE.

Values from the calculation:
Raw formation energy (eV/atom): -0.2004

Lattice parameters (Å, degrees): 3.8302 3.8302 9.5090 101.62 101.62 90.00
Atoms (fractional coordinates):
Ni 0.5992 0.0992 0.1983
Ni 0.7500 0.2500 0.5000
Ni 0.9008 0.4008 0.8017
Ni 0.2500 0.7500 0.5000
Ni 0.0992 0.5992 0.1983
Ni 0.5000 0.5000 0.0000
Ni 0.4008 0.9008 0.8017
As 0.3266 0.3266 0.6532
As 0.6734 0.6734 0.3468
Sb 0.0000 0.0000 0.0000

***

A geometry-optimized Pm10Nd4Sc structure. Source: Alexandria via LeMat-Bulk, functional PBE.

Values from the calculation:
Raw total energy (eV/atom): -4.53

Lattice parameters (Å, degrees): 10.5184 8.7767 8.7767 68.96 53.19 53.19
Atoms (fractional coordinates):
Pm 0.5436 0.9090 0.6788
Pm 0.2224 0.3212 0.9090
Pm 0.1314 0.0910 0.3212
Pm 0.2500 0.5000 0.5000
Pm 0.4525 0.6788 0.0910
Pm 0.7776 0.6788 0.0910
Pm 0.7500 0.5000 0.5000
Pm 0.8686 0.9090 0.6788
Pm 0.5475 0.3212 0.9090
Pm 0.4564 0.0910 0.3212
Nd 0.3210 0.7352 0.6228
Nd 0.0562 0.6228 0.2648
Nd 0.6790 0.2648 0.3772
Nd 0.9438 0.3772 0.7352
Sc 0.0000 0.0000 0.0000

***

A geometry-optimized AlRh2Br structure. Source: Alexandria via LeMat-Bulk, functional PBE.

Values from the calculation:
Raw formation energy (eV/atom): -0.1062

Lattice parameters (Å, degrees): 8.3649 8.3649 8.3649 20.66 20.66 20.66
Atoms (fractional coordinates):
Rh 0.5066 0.5066 0.5066
Rh 0.9934 0.9934 0.9934
Al 0.2500 0.2500 0.2500
Br 0.7500 0.7500 0.7500

***

A geometry-optimized La3Pm12Tm structure. Source: Alexandria via LeMat-Bulk, functional PBE.

Values from the calculation:
Raw total energy (eV/atom): -4.75

Lattice parameters (Å, degrees): 5.1755 5.1755 20.6928 90.00 90.00 90.00
Atoms (fractional coordinates):
Pm 0.5000 0.5000 0.2471
Pm 0.5000 0.0000 0.8782
Pm 0.5000 0.5000 0.0000
Pm 0.0000 0.5000 0.6259
Pm 0.5000 0.5000 0.7529
Pm 0.0000 0.5000 0.8782
Pm 0.5000 0.0000 0.6259
Pm 0.5000 0.0000 0.3741
Pm 0.5000 0.0000 0.1218
Pm 0.5000 0.5000 0.5000
Pm 0.0000 0.5000 0.1218
Pm 0.0000 0.5000 0.3741
Tm 0.0000 0.0000 0.0000
La 0.0000 0.0000 0.7516
La 0.0000 0.0000 0.5000
La 0.0000 0.0000 0.2484

***

A geometry-optimized MnReP2 structure. Source: Alexandria via LeMat-Bulk, functional PBE.

Values from the calculation:
Raw total energy (eV/atom): -8.13

Lattice parameters (Å, degrees): 7.4173 7.4173 7.4173 22.56 22.56 22.56
Each line ends with the local moment (μB).
Atoms (fractional coordinates):
Re 0.5049 0.5049 0.5049  -0.04
Mn 0.7402 0.7402 0.7402  0.60
P 0.2503 0.2503 0.2503  0.00
P 0.0046 0.0046 0.0046  -0.02

***

A geometry-optimized CoNiBr2 structure. Source: Alexandria via LeMat-Bulk, functional PBE.

Values from the calculation:
Raw formation energy (eV/atom): 0.4696

Lattice parameters (Å, degrees): 5.2609 5.2609 5.2609 141.90 98.83 93.42
Each line ends with the local moment (μB).
Atoms (fractional coordinates):
Br 0.4943 0.4943 0.0000  0.05
Br 0.0057 0.0057 0.0000  0.05
Ni 0.2500 0.7500 0.5000  0.51
Co 0.7500 0.2500 0.5000  1.88